Entry 1:
{"formula": "Cs5K5Rb", "functional": "PBE", "state": "optimized geometry", "polymorph_energy_mev_per_atom": 26, "dft_energy_ev_per_atom": -0.9299, "formation_enthalpy_0k_ev_per_atom": 0.045, "cell": [[13.385, -4.293, 0.000], [13.385, 4.293, 0.000], [-3.509, 0.000, 9.149]], "species": ["Cs", "Cs", "Cs", "Cs", "Cs", "K", "K", "K", "K", "K", "Rb"], "frac_coords": [[0.000, 0.000, 0.000], [0.318, 0.318, 0.305], [0.375, 0.375, 0.861], [0.625, 0.625, 0.139], [0.682, 0.682, 0.695], [0.165, 0.165, 0.903], [0.170, 0.170, 0.440], [0.500, 0.500, 0.500], [0.830, 0.830, 0.560], [0.835, 0.835, 0.097], [0.000, 0.000, 0.500]]}

Entry 2:
{"formula": "Nd3InTe4", "functional": "PBE", "state": "optimized geometry", "e_form_raw_mev_per_atom": -1203, "dft_energy_ev_per_atom": -4.9041, "cell": [[4.484, 0.000, 0.000], [-2.242, 3.884, 0.000], [0.000, 0.000, 31.347]], "species": ["Nd", "Nd", "Nd", "Nd", "Nd", "Nd", "In", "In", "Te", "Te", "Te", "Te", "Te", "Te", "Te", "Te"], "frac_coords": [[0.000, 0.000, 0.000], [0.000, 0.000, 0.500], [0.333, 0.667, 0.118], [0.333, 0.667, 0.382], [0.667, 0.333, 0.618], [0.667, 0.333, 0.882], [0.333, 0.667, 0.750], [0.667, 0.333, 0.250], [0.000, 0.000, 0.177], [0.000, 0.000, 0.323], [0.000, 0.000, 0.677], [0.000, 0.000, 0.823], [0.333, 0.667, 0.559], [0.333, 0.667, 0.941], [0.667, 0.333, 0.059], [0.667, 0.333, 0.441]]}

Entry 3:
{"formula": "Ag2BBr6", "functional": "PBE", "state": "optimized geometry", "e_form_raw_mev_per_atom": -137, "polymorph_energy_mev_per_atom": 165, "dft_energy_ev_per_atom": -2.6281, "cell": [[9.389, 0.000, 0.000], [0.000, 8.772, 0.000], [-1.923, 0.000, 7.268]], "species": ["Ag", "Ag", "Ag", "Ag", "B", "B", "Br", "Br", "Br", "Br", "Br", "Br", "Br", "Br", "Br", "Br", "Br", "Br"], "frac_coords": [[0.134, 0.169, 0.453], [0.134, 0.331, 0.953], [0.866, 0.669, 0.047], [0.866, 0.831, 0.547], [0.500, 0.000, 0.000], [0.500, 0.500, 0.500], [0.048, 0.630, 0.830], [0.048, 0.870, 0.330], [0.326, 0.199, 0.254], [0.326, 0.301, 0.754], [0.338, 0.616, 0.421], [0.338, 0.884, 0.921], [0.662, 0.116, 0.079], [0.662, 0.384, 0.579], [0.674, 0.699, 0.246], [0.674, 0.801, 0.746], [0.952, 0.130, 0.670], [0.952, 0.370, 0.170]]}

The calculation returns the following calculated volume values, one per record and in order: 95.6, 34.1, 33.3 A^3/atom.
The calculation returns the following DOS at the Fermi energy values, one per record and in order: 0.97, 0.44, 0.89 states/eV/atom.